[1]
# CeSi2TcRh

A relaxed CeSi2TcRh crystal (PBE-GGA, Alexandria).

The calculated volume is 173.6 Å³/cell. Its formation energy from raw total energies is -876 meV/atom.

The structure belongs to space group I-4m2 (No. 119); the cell edges are 4.2162, 4.2162 and 9.7638 Å and the angles 90.00°, 90.00° and 90.00°. The asymmetric unit holds Ce at (0.0000, 0.0000, 0.0000), Si at (0.0000, 0.0000, 0.3703), Tc at (0.0000, 0.5000, 0.7500) and Rh at (0.0000, 0.5000, 0.2500).

[2]
# ZrCoSb

A relaxed ZrCoSb crystal (PBE-GGA, Alexandria).

The calculated volume is 55.2 Å³/cell. Its formation energy from raw total energies is -418 meV/atom.

The structure belongs to space group P3m1 (No. 156); the cell edges are 4.2709, 4.2709 and 3.4930 Å and the angles 90.00°, 90.00° and 120.00°. The asymmetric unit holds Zr at (0.0000, 0.0000, 0.0000), Co at (0.6667, 0.3333, 0.4054) and Sb at (0.3333, 0.6667, 0.4949).

[3]
# Ti6Sb2C

A relaxed Ti6Sb2C crystal (PBE-GGA, Alexandria).

The calculated volume is 293.7 Å³/cell. Its formation energy from raw total energies is -485 meV/atom.

The structure belongs to space group I4/mmm (No. 139); the cell edges are 5.8878, 5.8878 and 8.4710 Å and the angles 90.00°, 90.00° and 90.00°. The asymmetric unit holds Ti at (0.0000, 0.0000, 0.2473), Ti at (0.2440, 0.2440, 0.0000), Sb at (0.0000, 0.5000, 0.2500) and C at (0.0000, 0.0000, 0.5000).

[4]
# LiScPa2Se5

A relaxed LiScPa2Se5 crystal (PBE-GGA, Alexandria).

The calculated volume is 803.7 Å³/cell. Its formation energy from raw total energies is -1356 meV/atom.

The structure belongs to space group Cmc2_1 (No. 36); the cell edges are 3.9279, 16.8308 and 12.1564 Å and the angles 90.00°, 90.00° and 90.00°. The asymmetric unit holds Li at (0.0000, 0.0532, 0.0000), Sc at (0.0000, 0.2983, 0.5472), Pa at (0.0000, 0.3678, 0.8421), Pa at (0.0000, 0.3937, 0.2181), Se at (0.0000, 0.0037, 0.3192), Se at (0.0000, 0.1363, 0.5361), Se at (0.0000, 0.1889, 0.8897), Se at (0.0000, 0.2171, 0.2020) and Se at (0.0000, 0.4479, 0.6111).

Among the records above, which one has the highest calculated volume?
LiScPa2Se5

Number 3 is which compound?
Ti6Sb2C

Look up the calculated volume of the first one.
173.6 Å³/cell

formation energy from raw total energies of number 1 (CeSi2TcRh)?
-876 meV/atom